[1]
A plane-wave DFT calculation with PBE was carried out for a relaxed HfPWS2 crystal.

Properties
spin magnetization	0.00	μB/cell
offset from the most stable computed form	0	meV/atom
E	-6.980	eV per atom
formation energy from raw total energies	1.7	eV/f.u.
DOS at the Fermi energy	0.92	states/eV per atom

CIF file:
```
data_HfPWS2
_symmetry_space_group_name_H-M 'P 4/m m m'
_symmetry_Int_Tables_number 123
_symmetry_space_group_name_Hall '-P 4 2'
_cell_length_a 4.5661
_cell_length_b 4.5661
_cell_length_c 4.8368
_cell_angle_alpha 90.00
_cell_angle_beta 90.00
_cell_angle_gamma 90.00
loop_
_atom_site_label
_atom_site_fract_x
_atom_site_fract_y
_atom_site_fract_z
_atom_site_occupancy
Hf1 0.0000 0.0000 0.0000 1
P1 0.5000 0.5000 0.0000 1
W1 0.5000 0.5000 0.5000 1
S1 0.0000 0.5000 0.5000 1
```

=====

[2]
A plane-wave DFT calculation with PBE was carried out for a relaxed ZrGaNiPd crystal.

Properties
formation energy	-2.34	eV/f.u.
spin magnetization	0.00	μB/cell
E	-6.223	eV per atom
DOS at the Fermi energy	0.84	states/eV per atom

CIF file:
```
data_ZrGaNiPd
_symmetry_space_group_name_H-M 'F -4 3 m'
_symmetry_Int_Tables_number 216
_symmetry_space_group_name_Hall 'F -4 2 3'
_cell_length_a 6.3167
_cell_length_b 6.3167
_cell_length_c 6.3167
_cell_angle_alpha 90.00
_cell_angle_beta 90.00
_cell_angle_gamma 90.00
loop_
_atom_site_label
_atom_site_fract_x
_atom_site_fract_y
_atom_site_fract_z
_atom_site_occupancy
Zr1 0.0000 0.0000 0.0000 1
Ga1 0.0000 0.0000 0.5000 1
Ni1 0.2500 0.2500 0.7500 1
Pd1 0.2500 0.2500 0.2500 1
```

=====

[3]
A plane-wave DFT calculation with PBE was carried out for a relaxed SbP3Cl8 crystal.

Properties
spin magnetization	2.04	μB/cell
E	-3.209	eV per atom
formation energy from raw total energies	-3.4	eV/f.u.
DOS at the Fermi energy	0.08	states/eV per atom

CIF file:
```
data_SbP3Cl8
_symmetry_space_group_name_H-M 'P -1'
_symmetry_Int_Tables_number 2
_cell_length_a 7.2497
_cell_length_b 7.9612
_cell_length_c 8.2094
_cell_angle_alpha 108.48
_cell_angle_beta 95.93
_cell_angle_gamma 108.08
loop_
_symmetry_equiv_pos_as_xyz
'x,y,z'
'-x,-y,-z'
loop_
_atom_site_label
_atom_site_fract_x
_atom_site_fract_y
_atom_site_fract_z
_atom_site_occupancy
Sb1 0.0000 0.0000 0.0000 1
P1 0.0000 0.5000 0.5000 1
P2 0.2902 0.7045 0.5774 1
Cl1 0.0790 0.7109 0.9040 1
Cl2 0.1542 0.0667 0.2991 1
Cl3 0.3131 0.1773 0.9577 1
Cl4 0.3909 0.6681 0.3510 1
```

=====

[4]
A plane-wave DFT calculation with PBE was carried out for a relaxed Ho3UHg3Te8 crystal.

Properties
spin magnetization	1.60	μB/cell
E	-4.161	eV per atom
formation energy from raw total energies	-11.4	eV/f.u.
DOS at the Fermi energy	0.69	states/eV per atom

CIF file:
```
data_Ho3UHg3Te8
_symmetry_space_group_name_H-M 'C 1 2/m 1'
_symmetry_Int_Tables_number 12
_cell_length_a 14.9670
_cell_length_b 8.6418
_cell_length_c 9.6887
_cell_angle_alpha 90.00
_cell_angle_beta 120.91
_cell_angle_gamma 90.00
loop_
_symmetry_equiv_pos_as_xyz
'x,y,z'
'-x,-y,-z'
'-x,y,-z'
'x,-y,z'
'x+1/2,y+1/2,z'
'-x+1/2,-y+1/2,-z'
'-x+1/2,y+1/2,-z'
'x+1/2,-y+1/2,z'
loop_
_atom_site_label
_atom_site_fract_x
_atom_site_fract_y
_atom_site_fract_z
_atom_site_occupancy
Ho1 0.0000 0.0000 0.0000 1
Ho2 0.2500 0.2500 0.0000 1
U1 0.0000 0.5000 0.0000 1
Hg1 0.0000 0.5000 0.5000 1
Hg2 0.2500 0.2500 0.5000 1
Te1 0.0107 0.2575 0.7891 1
Te2 0.2318 0.5000 0.2109 1
Te3 0.2377 0.0000 0.2135 1
```